1.
The following is a PBE-GGA calculation of a relaxed Li2Sn2Hg crystal, from Alexandria via LeMat-Bulk.

Values from the calculation:
ΔH_f (0 K)	-0.056	eV per atom
SG	I4/mmm
calculated density	6.47	g/cm3
total DFT energy (no corrections)	-2.483	eV per atom

a b c (Å): 4.1881 4.1881 7.2437
angles (deg): 73.20 73.20 90.00
Closest atoms and distances in Å follow each position.
Fractional coordinates of all 5 atoms:
Li (0.7500, 0.2500, 0.5000)  4 Sn 2.84, 4 Li 2.96
Li (0.2500, 0.7500, 0.5000)  4 Sn 2.84, 4 Li 2.96
Hg (0.0000, 0.0000, 0.0000)  8 Sn 3.27
Sn (0.3955, 0.3955, 0.2089)  1 Sn 2.76, 4 Li 2.84
Sn (0.6045, 0.6045, 0.7911)  1 Sn 2.76, 4 Li 2.84


2.
The following is a PBE-GGA calculation of a relaxed TaHgTeN2 crystal, from Alexandria via LeMat-Bulk.

Values from the calculation:
uncorrected formation energy	225.9	kJ/mol of atoms
SG	P4/mmm
calculated density	9.16	g/cm3
total DFT energy (no corrections)	-4.048	eV per atom

a b c (Å): 4.1425 4.1425 5.6760
angles (deg): 90.00 90.00 90.00
Closest atoms and distances in Å follow each position.
Fractional coordinates of all 5 atoms:
N (0.0000, 0.5000, 0.0000)  2 Hg 2.07
N (0.5000, 0.0000, 0.0000)  2 Hg 2.07
Te (0.0000, 0.0000, 0.5000)  2 Hg 2.84, 4 Ta 2.93
Hg (0.0000, 0.0000, 0.0000)  4 N 2.07
Ta (0.5000, 0.5000, 0.5000)  4 Te 2.93


Summary of excess energy over the best structure of this formula in the dataset in eV per atom
0.1961 2.1080
(order as listed above)